The following is a DFT calculation (GGA-PBE) of a geometry-optimized Dy3SiP2Ir9 structure.

Unit cell a=6.068 b=6.068 c=8.702 alpha=90.00 beta=90.00 gamma=120.00
Fractional coordinates of all 15 atoms:
Dy1 0.000 0.000 0.000
Dy2 0.333 0.667 0.655
Dy3 0.667 0.333 0.345
Si1 0.000 0.000 0.500
P1 0.333 0.667 0.170
P2 0.667 0.333 0.830
Ir1 0.000 0.500 0.000
Ir2 0.147 0.294 0.287
Ir3 0.147 0.853 0.287
Ir4 0.294 0.147 0.713
Ir5 0.500 0.000 0.000
Ir6 0.500 0.500 0.000
Ir7 0.706 0.853 0.287
Ir8 0.853 0.147 0.713
Ir9 0.853 0.706 0.713

Results
Space-group type ... P-3m1 (164)
VASP energy ... -7.73 eV/atom
V ... 18.50 A^3/atom